[1]
The following is a DFT calculation (PBE) of an optimized crystal structure of YInTcNi.

a = 4.683 Å, b = 4.683 Å, c = 4.683 Å
α = 60.00°, β = 60.00°, γ = 60.00°
Positions (direct):
Y: 0.500 0.500 0.500
Tc: 0.250 0.250 0.250
Ni: 0.750 0.750 0.750
In: 0.000 0.000 0.000

Results
Total energy = -6.2636 eV per atom
Calculated volume = 18.2 Å³ per atom
Space-group type = F-43m (216)

***

[2]
The following is a DFT calculation (PBE) of an optimized crystal structure of IrIO.

a = 3.611 Å, b = 3.611 Å, c = 8.498 Å
α = 90.00°, β = 90.00°, γ = 90.00°
Positions (direct):
O: 0.250 0.750 0.000
O: 0.750 0.250 0.000
I: 0.250 0.250 0.686
I: 0.750 0.750 0.314
Ir: 0.750 0.750 0.857
Ir: 0.250 0.250 0.143

Results
Energy above the lowest structure with this stoichiometry = 557 meV per atom
Calculated volume = 18.5 Å³ per atom
Space-group type = P4/nmm (129)

***

[3]
The following is a DFT calculation (PBE) of an optimized crystal structure of PmThFe.

a = 4.777 Å, b = 4.777 Å, c = 4.777 Å
α = 60.00°, β = 60.00°, γ = 60.00°
Positions (direct):
Pm: 0.250 0.250 0.250
Th: 0.750 0.750 0.750
Fe: 0.000 0.000 0.000

Results
Energy above the lowest structure with this stoichiometry = 0 meV per atom
Calculated volume = 25.7 Å³ per atom
Energy relative to the elements = 0.19 eV/atom
Space-group type = F-43m (216)

***

[4]
The following is a DFT calculation (PBE) of an optimized crystal structure of PmBi2.

a = 4.839 Å, b = 5.019 Å, c = 8.146 Å
α = 90.66°, β = 107.28°, γ = 90.00°
Positions (direct):
Bi: 0.404 0.253 0.807
Bi: 0.596 0.747 0.193
Bi: 0.901 0.754 0.802
Bi: 0.099 0.246 0.198
Pm: 0.751 0.250 0.502
Pm: 0.249 0.750 0.498

Results
Energy above the lowest structure with this stoichiometry = 60 meV per atom
Calculated volume = 31.5 Å³ per atom
Space-group type = C2/m (12)